[1]
A relaxed Pa2Ga8Cu crystal, computed with PBE.

The value obtained for the formation energy is -3.5 eV/f.u. The value obtained for the total energy is -4.616 eV/atom.

It has space group P4/mmm (No. 123), with a = 4.323 Å, b = 4.323 Å, c = 11.181 Å, α = 90.00°, β = 90.00° and γ = 90.00°. Symmetry generates all atoms from Pa at (0.000, 0.000, 0.189), Ga at (0.000, 0.500, 0.000), Ga at (0.000, 0.500, 0.377), Ga at (0.500, 0.500, 0.188) and Cu at (0.000, 0.000, 0.500).

[2]
A relaxed Rb2AuIBr6 crystal, computed with PBE.

For the formation energy without anion corrections, the calculation gives -0.788 eV per atom. As for the relative energy among the computed polymorphs: 0.032 eV/atom. The value obtained for the total energy is -2.468 eV/atom.

It has space group I4/mmm (No. 139), with a = 8.269 Å, b = 8.269 Å, c = 11.857 Å, α = 90.00°, β = 90.00° and γ = 90.00°. Symmetry generates all atoms from Rb at (0.000, 0.500, 0.250), Au at (0.000, 0.000, 0.000), I at (0.000, 0.000, 0.500), Br at (0.000, 0.000, 0.271) and Br at (0.214, 0.214, 0.000).

What did the second record say?
A relaxed Rb2AuIBr6 crystal, computed with PBE.

For the formation energy without anion corrections, the calculation gives -0.788 eV per atom. As for the relative energy among the computed polymorphs: 0.032 eV/atom. The value obtained for the total energy is -2.468 eV/atom.

It has space group I4/mmm (No. 139), with a = 8.269 Å, b = 8.269 Å, c = 11.857 Å, α = 90.00°, β = 90.00° and γ = 90.00°. Symmetry generates all atoms from Rb at (0.000, 0.500, 0.250), Au at (0.000, 0.000, 0.000), I at (0.000, 0.000, 0.500), Br at (0.000, 0.000, 0.271) and Br at (0.214, 0.214, 0.000).